Entry 1:
Computed, not measured: CaTb5In6 after structural relaxation at the PBE-GGA level of DFT.

The space group is C2/m (No. 12) and the conventional cell measures 16.9154, 7.5262 and 5.3622 Å, with angles of 90.00, 107.86 and 90.00 degrees. The inequivalent atoms are Ca at (0.0000, 0.0000, 0.0000), Tb at (0.0000, 0.5000, 0.0000), Tb at (0.1631, 0.0000, 0.6630), Tb at (0.1681, 0.5000, 0.6682), In at (0.0000, 0.2549, 0.5000) and In at (0.1674, 0.2524, 0.1673).

As for the energy of formation from the pure elements: -471 meV per atom. As for the energy: -3.937 eV per atom. For the magnetic moment, the calculation gives 0.00 μB/cell. The calculation puts the volume at 650 Å³/cell.

***

Entry 2:
Computed, not measured: Ca3TbIn2 after structural relaxation at the PBE-GGA level of DFT.

The space group is Pmc2_1 (No. 26) and the conventional cell measures 5.3245, 9.8604 and 7.0971 Å, with angles of 90.00, 90.00 and 90.00 degrees. The inequivalent atoms are Ca at (0.0000, 0.0483, 0.0000), Ca at (0.0000, 0.3153, 0.3566), Ca at (0.5000, 0.1819, 0.7124), Tb at (0.5000, 0.4549, 0.0649), In at (0.0000, 0.3663, 0.8177) and In at (0.5000, 0.1493, 0.2465).

As for the energy of formation from the pure elements: -357 meV per atom. As for the energy: -3.042 eV per atom. For the magnetic moment, the calculation gives 0.00 μB/cell. The calculation puts the volume at 373 Å³/cell.

***

Entry 3:
Computed, not measured: Ca2TbIn after structural relaxation at the PBE-GGA level of DFT.

The space group is R-3m (No. 166, hexagonal axes) and the conventional cell measures 3.6272, 3.6272 and 37.8075 Å, with angles of 90.00, 90.00 and 120.00 degrees. The inequivalent atoms are Ca at (0.0000, 0.0000, 0.0865), Tb at (0.0000, 0.0000, 0.5000) and In at (0.0000, 0.0000, 0.0000).

The distance to the lowest polymorph of the same formula is 346 meV per atom. As for the energy of formation from the pure elements: 124 meV per atom. As for the energy: -2.719 eV per atom. For the magnetic moment, the calculation gives 0.00 μB/cell. The calculation puts the volume at 431 Å³/cell.

***

Entry 4:
Computed, not measured: CaTb3In2 after structural relaxation at the PBE-GGA level of DFT.

The space group is Pmc2_1 (No. 26) and the conventional cell measures 5.4263, 9.4097 and 6.8132 Å, with angles of 90.00, 90.00 and 90.00 degrees. The inequivalent atoms are Ca at (0.0000, 0.0010, 0.0000), Tb at (0.0000, 0.3349, 0.7483), Tb at (0.5000, 0.1682, 0.2510), Tb at (0.5000, 0.4992, 0.9994), In at (0.0000, 0.3353, 0.2492) and In at (0.5000, 0.1688, 0.7501).

The distance to the lowest polymorph of the same formula is 0 meV per atom. As for the energy of formation from the pure elements: -373 meV per atom. As for the energy: -3.935 eV per atom. For the magnetic moment, the calculation gives 0.40 μB/cell. The calculation puts the volume at 348 Å³/cell.

***

Entry 5:
Computed, not measured: CaTb5In3 after structural relaxation at the PBE-GGA level of DFT.

The space group is P6_3/mcm (No. 193) and the conventional cell measures 9.3933, 9.3933 and 6.7870 Å, with angles of 90.00, 90.00 and 120.00 degrees. The inequivalent atoms are Ca at (0.0000, 0.0000, 0.0000), Tb at (0.0000, 0.3347, 0.2500), Tb at (0.3333, 0.6667, 0.0000) and In at (0.0000, 0.3340, 0.7500).

As for the energy of formation from the pure elements: -369 meV per atom. As for the energy: -4.077 eV per atom. For the magnetic moment, the calculation gives 0.00 μB/cell. The calculation puts the volume at 519 Å³/cell.

***

Entry 6:
Computed, not measured: CaTb2In3 after structural relaxation at the PBE-GGA level of DFT.

The space group is P4/mmm (No. 123) and the conventional cell measures 3.6673, 3.6673 and 12.1876 Å, with angles of 90.00, 90.00 and 90.00 degrees. The inequivalent atoms are Ca at (0.0000, 0.0000, 0.0000), Tb at (0.0000, 0.0000, 0.3330), In at (0.5000, 0.5000, 0.1692) and In at (0.5000, 0.5000, 0.5000).

As for the energy of formation from the pure elements: -467 meV per atom. As for the energy: -3.713 eV per atom. For the magnetic moment, the calculation gives 0.00 μB/cell. The calculation puts the volume at 164 Å³/cell.

***

Entry 7:
Computed, not measured: CaTb6In6 after structural relaxation at the PBE-GGA level of DFT.

The space group is P6/mmm (No. 191) and the conventional cell measures 6.3575, 6.3575 and 10.7041 Å, with angles of 90.00, 90.00 and 120.00 degrees. The inequivalent atoms are Ca at (0.0000, 0.0000, 0.0000), Tb at (0.0000, 0.0000, 0.3360), Tb at (0.3333, 0.6667, 0.0000), Tb at (0.3333, 0.6667, 0.5000) and In at (0.0000, 0.5000, 0.2460).

As for the energy of formation from the pure elements: -330 meV per atom. As for the energy: -3.884 eV per atom. For the magnetic moment, the calculation gives 0.00 μB/cell. The calculation puts the volume at 375 Å³/cell.

***

Entry 8:
Computed, not measured: CaTb12In3 after structural relaxation at the PBE-GGA level of DFT.

The space group is P4/mmm (No. 123) and the conventional cell measures 4.8853, 4.8853 and 20.0105 Å, with angles of 90.00, 90.00 and 90.00 degrees. The inequivalent atoms are Ca at (0.0000, 0.0000, 0.0000), Tb at (0.0000, 0.5000, 0.1358), Tb at (0.0000, 0.5000, 0.3782), Tb at (0.5000, 0.5000, 0.0000), Tb at (0.5000, 0.5000, 0.2566), Tb at (0.5000, 0.5000, 0.5000), In at (0.0000, 0.0000, 0.2582) and In at (0.0000, 0.0000, 0.5000).

As for the energy of formation from the pure elements: -162 meV per atom. As for the energy: -4.273 eV per atom. For the magnetic moment, the calculation gives 0.00 μB/cell. The calculation puts the volume at 478 Å³/cell.

***

Entry 9:
Computed, not measured: Ca2TbIn after structural relaxation at the PBE-GGA level of DFT.

The space group is R3m (No. 160, hexagonal axes) and the conventional cell measures 3.6774, 3.6774 and 34.2531 Å, with angles of 90.00, 90.00 and 120.00 degrees. The inequivalent atoms are Ca at (0.0000, 0.0000, 0.0000), Ca at (0.0000, 0.0000, 0.1821), Tb at (0.0000, 0.0000, 0.7570) and In at (0.0000, 0.0000, 0.5911).

The distance to the lowest polymorph of the same formula is 146 meV per atom. As for the energy of formation from the pure elements: -76 meV per atom. As for the energy: -2.919 eV per atom. For the magnetic moment, the calculation gives 1.92 μB/cell. The calculation puts the volume at 401 Å³/cell.

***

Entry 10:
Computed, not measured: CaTbIn2 after structural relaxation at the PBE-GGA level of DFT.

The space group is P4/mmm (No. 123) and the conventional cell measures 3.7929, 3.7929 and 7.7040 Å, with angles of 90.00, 90.00 and 90.00 degrees. The inequivalent atoms are Ca at (0.0000, 0.0000, 0.0000), Tb at (0.0000, 0.0000, 0.5000) and In at (0.5000, 0.5000, 0.2551).

As for the energy of formation from the pure elements: -472 meV per atom. As for the energy: -3.499 eV per atom. For the magnetic moment, the calculation gives 0.00 μB/cell. The calculation puts the volume at 111 Å³/cell.

***

Entry 11:
Computed, not measured: CaTbIn4 after structural relaxation at the PBE-GGA level of DFT.

The space group is P2/m (No. 10) and the conventional cell measures 3.6470, 4.9833 and 8.6904 Å, with angles of 90.00, 90.04 and 90.00 degrees. The inequivalent atoms are Ca at (0.0000, 0.0000, 0.0000), Tb at (0.0000, 0.5000, 0.5000), In at (0.4850, 0.0000, 0.3355) and In at (0.4899, 0.5000, 0.8316).

The distance to the lowest polymorph of the same formula is 0 meV per atom. As for the energy of formation from the pure elements: -384 meV per atom. As for the energy: -3.315 eV per atom. For the magnetic moment, the calculation gives 0.00 μB/cell. The calculation puts the volume at 158 Å³/cell.

***

Entry 12:
Computed, not measured: CaTbIn after structural relaxation at the PBE-GGA level of DFT.

The space group is I4/mmm (No. 139) and the conventional cell measures 3.5378, 3.5378 and 30.3060 Å, with angles of 90.00, 90.00 and 90.00 degrees. The inequivalent atoms are Ca at (0.0000, 0.0000, 0.0619), Tb at (0.0000, 0.0000, 0.2066) and In at (0.0000, 0.0000, 0.3655).

The distance to the lowest polymorph of the same formula is 132 meV per atom. As for the energy of formation from the pure elements: -255 meV per atom. As for the energy: -3.378 eV per atom. For the magnetic moment, the calculation gives 0.00 μB/cell. The calculation puts the volume at 379 Å³/cell.